Compound: HfAsBr2F
Source: Alexandria
Functional: PBE
Structure: optimized geometry

abc: 5.1505 5.1505 5.3035
angles: 90.00 90.00 90.00
Last column: nearest neighbours and their distance in Å.
Fractional positions:
As (0.0000, 0.0000, 0.5000)  2 Hf 2.65
Hf (0.0000, 0.0000, 0.0000)  4 Br 2.58, 2 As 2.65
Br (0.0000, 0.5000, 0.0000)  2 Hf 2.58
Br (0.5000, 0.0000, 0.0000)  2 Hf 2.58
F (0.5000, 0.5000, 0.5000)  4 As 3.64, 8 Br 3.70

Computed properties:
raw total energy = -4.513 eV per atom
formation energy from raw total energies = -53 kJ per mole of atoms
magnetization = 0.83 Bohr magnetons per cell
space group = P4/mmm, No. 123
energy above the most stable polymorph in this dataset = 0.0 meV per atom